Below is an optimized crystal structure of KMnPd, with properties calculated at the PBE level.

- space-group type = P-6m2 (187)
- excess energy over the best structure of this formula in the dataset (meV per atom) = 251

Cell lengths 4.3719, 4.3719, 5.2785 Å; angles 90.00, 90.00, 120.00 degrees
Site moments in Bohr magnetons follow the coordinates.
Positions (direct):
K  0.6667  0.3333  0.5000  -0.01
Mn  0.0000  0.0000  0.0000  4.12
Pd  0.3333  0.6667  0.0000  0.21